Below is an optimized crystal structure of RbNbS3, with properties calculated at the PBE level.

Lattice parameters (Å, degrees): 7.2807 13.0153 6.3669 90.00 90.16 90.00
Space group Cc (No. 9)
Asymmetric unit:
Rb  0.0000  0.1888  0.0000 (multiplicity 4)
Nb  0.9998  0.4540  0.4140 (multiplicity 4)
S  0.9997  0.2868  0.4965 (multiplicity 4)
S  0.2301  0.4687  0.1258 (multiplicity 4)
S  0.2698  0.0316  0.6240 (multiplicity 4)

Values from the calculation:
The crystal system is monoclinic. The total moment is 0.0 μB/cell.



Below is an optimized crystal structure of Rb2NbSe2S, with properties calculated at the PBE level.

Lattice parameters (Å, degrees): 14.5141 7.2882 10.3043 90.00 127.38 90.00
Space group C2/m (No. 12)
Asymmetric unit:
Rb  0.0820  0.0000  0.3520 (multiplicity 4)
Rb  0.1948  0.5000  0.8106 (multiplicity 4)
Nb  0.1081  0.5000  0.1650 (multiplicity 4)
Se  0.1103  0.5000  0.4025 (multiplicity 4)
Se  0.2023  0.0000  0.7772 (multiplicity 4)
S  0.0000  0.2415  0.0000 (multiplicity 4)

Values from the calculation:
The crystal system is monoclinic. The total moment is 0.0 μB/cell.



Below is an optimized crystal structure of Rb2TbNbS4, with properties calculated at the PBE level.

Lattice parameters (Å, degrees): 3.9718 3.9718 15.0570 90.00 90.00 120.00
Space group P-3m1 (No. 164)
Asymmetric unit:
Rb  0.3333  0.6667  0.2588 (multiplicity 2)
Tb  0.0000  0.0000  0.0000 (multiplicity 1)
Nb  0.0000  0.0000  0.5000 (multiplicity 1)
S  0.3333  0.6667  0.5845 (multiplicity 2)
S  0.3333  0.6667  0.8985 (multiplicity 2)

Values from the calculation:
The crystal system is trigonal. The total moment is 2.0 μB/cell.



Below is an optimized crystal structure of Rb2NbTe2S, with properties calculated at the PBE level.

Lattice parameters (Å, degrees): 7.5344 8.2402 9.1029 77.60 70.67 68.70
Space group P-1 (No. 2)
Asymmetric unit:
Rb  0.1044  0.1822  0.1466 (multiplicity 2)
Rb  0.3285  0.5837  0.3171 (multiplicity 2)
Nb  0.3846  0.0450  0.6555 (multiplicity 2)
Te  0.1718  0.3699  0.7215 (multiplicity 2)
Te  0.3785  0.8064  0.9012 (multiplicity 2)
S  0.2814  0.9636  0.4694 (multiplicity 2)

Values from the calculation:
The crystal system is triclinic. The total moment is 0.0 μB/cell.



Calculated total energy: -115.3; -119.9; -44.0; -56.0 (eV for the cell shown)